(one)
A plane-wave DFT calculation with PBE was carried out for crystalline Nd2SmAu at its relaxed geometry.

Cell: 3.823 3.823 10.393 Å, 79.40 79.40 60.00°
Fractional positions:
Nd  0.070  0.070  0.789
Nd  0.263  0.263  0.211
Sm  0.500  0.500  0.501
Au  0.667  0.667  0.000

---

(two)
A plane-wave DFT calculation with PBE was carried out for crystalline Nd2SmAu at its relaxed geometry.

Cell: 5.013 6.585 8.072 Å, 90.00 90.00 112.37°
Fractional positions:
Nd  0.359  0.718  0.533
Nd  0.641  0.282  0.467
Nd  0.359  0.718  0.967
Nd  0.641  0.282  0.033
Sm  0.953  0.906  0.250
Sm  0.047  0.094  0.750
Au  0.797  0.594  0.750
Au  0.203  0.406  0.250

---

Name the most stable of them. (two).

---

(one)
A plane-wave DFT calculation with PBE was carried out for crystalline NdSm2Au at its relaxed geometry.

Cell: 4.836 4.837 4.837 Å, 90.00 90.00 90.00°
Fractional positions:
Nd  0.500  0.000  0.000
Au  0.500  0.500  0.500
Sm  0.000  0.000  0.500
Sm  0.000  0.500  0.000

---

(two)
A plane-wave DFT calculation with PBE was carried out for crystalline NdSm2Au at its relaxed geometry.

Cell: 6.758 7.124 10.187 Å, 90.00 90.00 90.00°
Fractional positions:
Nd  0.631  0.508  0.250
Nd  0.869  0.008  0.250
Nd  0.369  0.492  0.750
Nd  0.131  0.992  0.750
Sm  0.177  0.690  0.053
Sm  0.323  0.190  0.447
Sm  0.823  0.310  0.553
Sm  0.677  0.810  0.947
Sm  0.823  0.310  0.947
Sm  0.677  0.810  0.553
Sm  0.177  0.690  0.447
Sm  0.323  0.190  0.053
Au  0.067  0.396  0.250
Au  0.433  0.896  0.250
Au  0.933  0.604  0.750
Au  0.567  0.104  0.750

---

(three)
A plane-wave DFT calculation with PBE was carried out for crystalline NdSm2Au at its relaxed geometry.

Cell: 3.750 3.750 10.520 Å, 79.73 79.73 60.00°
Fractional positions:
Nd  0.500  0.500  0.500
Au  0.000  0.000  0.000
Sm  0.264  0.264  0.209
Sm  0.736  0.736  0.791

---

Name the most stable of them. (two).

---

(one)
A plane-wave DFT calculation with PBE was carried out for crystalline Nd2SmAu3 at its relaxed geometry.

Cell: 5.258 8.314 7.356 Å, 90.00 90.00 71.57°
Fractional positions:
Nd  0.000  0.000  0.000
Nd  0.000  0.000  0.500
Nd  0.334  0.333  0.500
Nd  0.666  0.667  0.500
Sm  0.333  0.334  0.000
Sm  0.667  0.666  0.000
Au  0.832  0.337  0.756
Au  0.500  0.000  0.247
Au  0.168  0.663  0.244
Au  0.832  0.337  0.244
Au  0.168  0.663  0.756
Au  0.500  0.000  0.753

---

(two)
A plane-wave DFT calculation with PBE was carried out for crystalline Nd2SmAu3 at its relaxed geometry.

Cell: 4.630 6.447 11.157 Å, 90.00 101.98 90.00°
Fractional positions:
Nd  0.145  0.750  0.290
Nd  0.855  0.250  0.710
Nd  0.971  0.750  0.941
Nd  0.029  0.250  0.059
Sm  0.320  0.750  0.641
Sm  0.680  0.250  0.359
Au  0.431  0.468  0.863
Au  0.569  0.532  0.137
Au  0.431  0.032  0.863
Au  0.569  0.968  0.137
Au  0.736  0.750  0.472
Au  0.264  0.250  0.528

---

Name the most stable of them. (one).